Computed, not measured: a relaxed SrZr crystal at the PBE-GGA level of DFT.

**Crystal system**: cubic
**Space-group type**: Pm-3m (221)
**Calculated volume**: 65.5 Å³/f.u.
**M_tot**: 0.41 μB per formula unit
**Energy relative to the lowest polymorph listed for this composition**: 563.3 meV/atom

abc: 4.0318 4.0318 4.0318
angles: 90.00 90.00 90.00
Last column: nearest neighbours and their distance in Å.
Positions (direct):
Sr 0.0000 0.0000 0.0000  8 Zr 3.49
Zr 0.5000 0.5000 0.5000  8 Sr 3.49